! PBE CsAsI2O8, relaxed; values from VASP
&SYSTEM
  ibrav = 0, nat = 12, ntyp = 4
/
ATOMIC_SPECIES
Cs 132.91 Cs.upf
As 74.92 As.upf
I 126.90 I.upf
O 16.00 O.upf
ATOMIC_POSITIONS angstrom
Cs 0.0000 0.0000 0.0000
As 4.8718 0.0000 3.3911
I 1.0385 0.0000 4.3733
I 8.7051 0.0000 2.4089
O 3.9878 1.4009 2.1713
O 1.3394 0.0000 2.6017
O 5.7558 1.4009 4.6109
O 3.5927 0.0000 4.5302
O 6.1509 0.0000 2.2520
O 3.9878 -1.4009 2.1713
O 8.4042 0.0000 4.1805
O 5.7558 -1.4009 4.6109
CELL_PARAMETERS angstrom
5.9925 -2.7628 0.0000
5.9925 2.7628 0.0000
-2.2415 0.0000 6.7822
! - VASP energy (eV per atom) = -4.66
! - E_form (uncorrected) (eV per formula unit) = -7.67